(1)
# LiMnZn GGA-PBE relaxed
data_LiMnZn
_space_group_name_H-M_alt 'I m m 2'
_space_group_IT_number 44
_space_group_name_Hall 'I 2 -2'
_cell_length_a 2.628
_cell_length_b 4.078
_cell_length_c 7.950
_cell_angle_alpha 90.00
_cell_angle_beta 90.00
_cell_angle_gamma 90.00
loop_
_atom_site_label
_atom_site_fract_x
_atom_site_fract_y
_atom_site_fract_z
_atom_site_occupancy
Li1 0.000 0.000 0.000 1
Mn1 0.000 0.000 0.324 1
Zn1 0.000 0.000 0.669 1
# Formation energy ... 0.103 eV per atom
# Uncorrected energy ... -4.0159 eV per atom
# Excess energy over the best structure of this formula in the dataset ... 0.6 kJ per mole of atoms

(2)
# MnFe2Cu GGA-PBE relaxed
data_MnFe2Cu
_space_group_name_H-M_alt 'I m m 2'
_space_group_IT_number 44
_space_group_name_Hall 'I 2 -2'
_cell_length_a 3.376
_cell_length_b 3.779
_cell_length_c 7.329
_cell_angle_alpha 90.00
_cell_angle_beta 90.00
_cell_angle_gamma 90.00
loop_
_atom_site_label
_atom_site_fract_x
_atom_site_fract_y
_atom_site_fract_z
_atom_site_occupancy
Mn1 0.000 0.000 0.000 1
Fe1 0.000 0.000 0.512 1
Fe2 0.000 0.500 0.254 1
Cu1 0.000 0.500 0.756 1
# Formation energy ... 0.216 eV per atom
# Uncorrected energy ... -7.3320 eV per atom

(3)
# NdErScZn GGA-PBE relaxed
data_NdErScZn
_space_group_name_H-M_alt 'P 4 m m'
_space_group_IT_number 99
_space_group_name_Hall 'P 4 -2'
_cell_length_a 3.477
_cell_length_b 3.477
_cell_length_c 8.559
_cell_angle_alpha 90.00
_cell_angle_beta 90.00
_cell_angle_gamma 90.00
loop_
_atom_site_label
_atom_site_fract_x
_atom_site_fract_y
_atom_site_fract_z
_atom_site_occupancy
Nd1 0.000 0.000 0.000 1
Er1 0.500 0.500 0.688 1
Sc1 0.500 0.500 0.291 1
Zn1 0.000 0.000 0.469 1
# Formation energy ... -0.155 eV per atom
# Uncorrected energy ... -4.3894 eV per atom
# Excess energy over the best structure of this formula in the dataset ... 0.0 kJ per mole of atoms